! GGA-PBEsol HfCu2P2, relaxed; values from VASP
&SYSTEM
  ibrav = 0, nat = 5, ntyp = 3
/
ATOMIC_SPECIES
P 30.97 P.upf
Hf 178.49 Hf.upf
Cu 63.55 Cu.upf
ATOMIC_POSITIONS angstrom
P 1.878 1.084 4.554
Hf 0.000 0.000 0.000
Cu 1.878 1.084 2.187
Cu 0.000 2.169 3.871
P 0.000 2.169 1.505
CELL_PARAMETERS angstrom
3.756 0.000 0.000
-1.878 3.253 0.000
0.000 0.000 6.059
! Symmetry: P-3m1
! Calculated formation energy (meV/atom): -657